# BaCr2CuPt GGA-PBE optimized geometry
data_BaCr2CuPt
_chemical_formula_sum 'Ba1 Cr2 Cu1 Pt1'
_space_group_name_H-M_alt 'P 4/m m m'
_space_group_IT_number 123
_space_group_name_Hall '-P 4 2'
_cell_length_a 5.100
_cell_length_b 5.100
_cell_length_c 4.946
_cell_angle_alpha 90.00
_cell_angle_beta 90.00
_cell_angle_gamma 90.00
loop_
_atom_site_label
_atom_site_fract_x
_atom_site_fract_y
_atom_site_fract_z
Ba1 0.000 0.000 0.000
Cr1 0.000 0.500 0.000
Cu1 0.000 0.000 0.500
Pt1 0.500 0.500 0.500
# total energy = -0.14495 Ha/atom
# energy of formation = 224 kJ per mole of atoms